1.
This record from the Alexandria database describes La2AsRh at its PBEsol-relaxed geometry. The functional is SCAN.

formation energy from the elements: -1.148 eV per atom

Unit cell a=4.2134 b=4.2134 c=20.7630 alpha=90.00 beta=90.00 gamma=120.00
Closest atoms and distances in Å follow each position.
Space group R-3m (No. 166, hexagonal axes)
Inequivalent atoms, fractional coordinates:
La 0.0000 0.0000 0.2456 (multiplicity 6)  3 Rh 2.93, 3 As 3.04
As 0.0000 0.0000 0.0000 (multiplicity 3)  6 La 3.04
Rh 0.0000 0.0000 0.5000 (multiplicity 3)  6 La 2.93

2.
This record from the Alexandria database describes CoHg2As at its PBEsol-relaxed geometry. The functional is SCAN.

formation energy from the elements: 0.140 eV per atom

Unit cell a=2.8892 b=2.8892 c=8.8408 alpha=90.00 beta=90.00 gamma=90.00
Closest atoms and distances in Å follow each position.
Space group P4mm (No. 99)
Inequivalent atoms, fractional coordinates:
Co 0.0000 0.0000 0.0000 (multiplicity 1)  4 As 2.41
Hg 0.0000 0.0000 0.5285 (multiplicity 1)  4 Hg 2.89
Hg 0.5000 0.5000 0.2192 (multiplicity 1)  4 Co 2.82, 4 Hg 2.89
As 0.5000 0.5000 0.8551 (multiplicity 1)  4 Co 2.41

3.
This record from the Alexandria database describes Re2Sb at its PBEsol-relaxed geometry. The functional is SCAN.

energy relative to the elements, uncorrected: 1.022 eV/atom
ΔE to the lowest computed polymorph: 0.6533 eV/atom

Unit cell a=4.6349 b=4.6349 c=5.3098 alpha=90.00 beta=90.00 gamma=120.00
Closest atoms and distances in Å follow each position.
Space group P6_3/mmc (No. 194)
Inequivalent atoms, fractional coordinates:
Re 0.0000 0.0000 0.0000 (multiplicity 2)  2 Re 2.65
Re 0.3333 0.6667 0.2500 (multiplicity 2)  5 Sb 2.65-2.68
Sb 0.3333 0.6667 0.7500 (multiplicity 2)  5 Re 2.65-2.68

4.
This record from the Alexandria database describes CdPbSe2 at its PBEsol-relaxed geometry. The functional is SCAN.

energy relative to the elements, uncorrected: -0.521 eV/atom

Unit cell a=4.1565 b=4.1565 c=5.8591 alpha=90.00 beta=90.00 gamma=90.00
Closest atoms and distances in Å follow each position.
Space group P4/mmm (No. 123)
Inequivalent atoms, fractional coordinates:
Cd 0.0000 0.0000 0.0000 (multiplicity 1)  6 Se 2.93-2.94
Pb 0.5000 0.5000 0.5000 (multiplicity 1)  6 Se 2.93-2.94
Se 0.0000 0.0000 0.5000 (multiplicity 1)  2 Cd 2.93, 4 Pb 2.94
Se 0.5000 0.5000 0.0000 (multiplicity 1)  2 Pb 2.93, 4 Cd 2.94

5.
This record from the Alexandria database describes Cd2IrAu at its PBEsol-relaxed geometry. The functional is SCAN.

ΔE to the lowest computed polymorph: 0.0703 eV/atom
formation energy from the elements: 0.073 eV per atom

Unit cell a=2.9121 b=2.9121 c=27.8785 alpha=90.00 beta=90.00 gamma=120.00
Closest atoms and distances in Å follow each position.
Space group R-3m (No. 166, hexagonal axes)
Inequivalent atoms, fractional coordinates:
Cd 0.0000 0.0000 0.2471 (multiplicity 6)  3 Ir 2.80, 6 Cd 2.91, 3 Au 2.93
Ir 0.0000 0.0000 0.5000 (multiplicity 3)  6 Cd 2.80, 6 Ir 2.91
Au 0.0000 0.0000 0.0000 (multiplicity 3)  6 Au 2.91, 6 Cd 2.93

6.
This record from the Alexandria database describes Ca2Ti6N2O11 at its PBEsol-relaxed geometry. The functional is SCAN.

energy relative to the elements, uncorrected: -3.036 eV/atom
ΔE to the lowest computed polymorph: 0.0099 eV/atom

Unit cell a=3.7400 b=7.5989 c=9.4265 alpha=100.41 beta=90.03 gamma=104.18
Closest atoms and distances in Å follow each position.
Space group P1 (No. 1)
Inequivalent atoms, fractional coordinates:
Ca 0.0000 0.0000 0.0000 (multiplicity 1)  6 O 2.39-2.62
Ca 0.0784 0.1617 0.5393 (multiplicity 1)  2 N 2.49-2.50, 4 O 2.50-2.60
Ti 0.3056 0.6160 0.0496 (multiplicity 1)  4 O 1.75-1.95
Ti 0.3627 0.7311 0.3763 (multiplicity 1)  1 O 1.84, 3 N 1.90-1.98
Ti 0.4164 0.8372 0.6996 (multiplicity 1)  1 N 1.86, 3 O 1.87-1.93
Ti 0.6558 0.3152 0.8771 (multiplicity 1)  4 O 1.80-1.92
Ti 0.6901 0.3835 0.2396 (multiplicity 1)  4 O 1.79-1.95
Ti 0.7649 0.5336 0.5542 (multiplicity 1)  5 O 1.89-2.06, 1 N 1.90
N 0.4654 0.9363 0.5319 (multiplicity 1)  2 Ti 1.86-1.90
N 0.8218 0.6486 0.3903 (multiplicity 1)  3 Ti 1.90-1.98
O 0.1701 0.3440 0.9190 (multiplicity 1)  2 Ti 1.91-1.92
O 0.2258 0.4554 0.2302 (multiplicity 1)  2 Ti 1.95
O 0.2808 0.5655 0.5749 (multiplicity 1)  2 Ti 1.89
O 0.3747 0.7548 0.9172 (multiplicity 1)  1 Ti 1.75
O 0.4034 0.8156 0.2042 (multiplicity 1)  2 Ti 1.84-1.87
O 0.5289 0.0619 0.8302 (multiplicity 1)  2 Ti 1.84-1.87
O 0.5884 0.1784 0.1033 (multiplicity 1)  1 Ti 1.79
O 0.6467 0.2959 0.4144 (multiplicity 1)  2 Ti 1.88-1.99
O 0.6727 0.3490 0.6933 (multiplicity 1)  1 Ti 1.80
O 0.7677 0.5401 0.0492 (multiplicity 1)  3 Ti 1.95-2.09
O 0.8841 0.7725 0.7046 (multiplicity 1)  3 Ti 1.93-2.04

7.
This record from the Alexandria database describes Zr3Cu4Si2 at its PBEsol-relaxed geometry. The functional is SCAN.

energy relative to the elements, uncorrected: -0.584 eV/atom

Unit cell a=6.2819 b=6.2819 c=3.9556 alpha=90.00 beta=90.00 gamma=120.00
Closest atoms and distances in Å follow each position.
Space group P-62m (No. 189)
Inequivalent atoms, fractional coordinates:
Zr 0.0000 0.5892 0.0000 (multiplicity 3)  1 Cu 2.58, 4 Si 2.74
Cu 0.0000 0.0000 0.0000 (multiplicity 1)  6 Cu 2.51, 3 Zr 2.58
Cu 0.0000 0.2455 0.5000 (multiplicity 3)  2 Si 2.42, 4 Cu 2.51-2.67
Si 0.3333 0.6667 0.5000 (multiplicity 2)  3 Cu 2.42

8.
This record from the Alexandria database describes ScMn4Br at its PBEsol-relaxed geometry. The functional is SCAN.

energy relative to the elements, uncorrected: 0.547 eV/atom

Unit cell a=6.8224 b=6.8224 c=6.8224 alpha=90.00 beta=90.00 gamma=90.00
Closest atoms and distances in Å follow each position.
Space group F-43m (No. 216)
Inequivalent atoms, fractional coordinates:
Sc 0.0000 0.0000 0.0000 (multiplicity 4)  12 Mn 2.83, 4 Br 2.95
Mn 0.1244 0.1244 0.6244 (multiplicity 16)  6 Mn 2.40-2.42
Br 0.2500 0.2500 0.2500 (multiplicity 4)  12 Mn 2.83, 4 Sc 2.95

9.
This record from the Alexandria database describes PS at its PBEsol-relaxed geometry. The functional is SCAN.

energy relative to the elements, uncorrected: -0.153 eV/atom

Unit cell a=9.6374 b=8.8889 c=8.5625 alpha=90.00 beta=103.86 gamma=90.00
Closest atoms and distances in Å follow each position.
Space group C2/c (No. 15)
Inequivalent atoms, fractional coordinates:
P 0.0063 0.1975 0.4394 (multiplicity 8)  2 S 2.11-2.12, 1 P 2.36
P 0.1556 0.3855 0.3733 (multiplicity 8)  2 S 2.11-2.12, 1 P 2.36
S 0.0000 0.0432 0.2500 (multiplicity 4)  2 P 2.11
S 0.0000 0.4594 0.7500 (multiplicity 4)  2 P 2.12
S 0.1968 0.2924 0.1625 (multiplicity 8)  2 P 2.11-2.12

10.
This record from the Alexandria database describes Sr2SmCu3Pb2O8 at its PBEsol-relaxed geometry. The functional is SCAN.

energy relative to the elements, uncorrected: -1.900 eV/atom

Unit cell a=3.7969 b=3.7969 c=15.7336 alpha=90.00 beta=90.00 gamma=90.00
Closest atoms and distances in Å follow each position.
Space group P4/mmm (No. 123)
Inequivalent atoms, fractional coordinates:
Sr 0.0000 0.0000 0.2216 (multiplicity 2)  9 O 2.55-2.74
Sm 0.0000 0.0000 0.0000 (multiplicity 1)  8 O 2.42
Cu 0.0000 0.0000 0.5000 (multiplicity 1)  2 O 1.83
Cu 0.5000 0.5000 0.1068 (multiplicity 2)  4 O 1.91
Pb 0.5000 0.5000 0.3884 (multiplicity 2)  1 O 2.16
O 0.0000 0.0000 0.3835 (multiplicity 2)  1 Cu 1.83
O 0.0000 0.5000 0.0957 (multiplicity 4)  2 Cu 1.91
O 0.5000 0.5000 0.2511 (multiplicity 2)  1 Pb 2.16, 1 Cu 2.27

11.
This record from the Alexandria database describes Se2IF at its PBEsol-relaxed geometry. The functional is SCAN.

energy relative to the elements, uncorrected: 0.303 eV/atom

Unit cell a=6.7438 b=6.7438 c=6.7438 alpha=90.00 beta=90.00 gamma=90.00
Closest atoms and distances in Å follow each position.
Space group Fm-3m (No. 225)
Inequivalent atoms, fractional coordinates:
Se 0.2500 0.2500 0.2500 (multiplicity 8)  4 F 2.92, 4 I 2.92
I 0.0000 0.0000 0.0000 (multiplicity 4)  8 Se 2.92
F 0.0000 0.0000 0.5000 (multiplicity 4)  8 Se 2.92

12.
This record from the Alexandria database describes Tl3Re at its PBEsol-relaxed geometry. The functional is SCAN.

ΔE to the lowest computed polymorph: 0.0000 eV/atom
formation energy from the elements: 0.676 eV per atom

Unit cell a=2.9148 b=4.7846 c=14.0129 alpha=90.00 beta=90.00 gamma=90.00
Closest atoms and distances in Å follow each position.
Space group Immm (No. 71)
Inequivalent atoms, fractional coordinates:
Tl 0.0000 0.0000 0.0000 (multiplicity 2)  4 Re 2.80, 2 Tl 2.91
Tl 0.0000 0.5000 0.1835 (multiplicity 4)  2 Tl 2.91, 2 Re 2.96
Re 0.0000 0.0000 0.5000 (multiplicity 2)  8 Tl 2.80-2.96, 2 Re 2.91

13.
This record from the Alexandria database describes Sr2CuP2O8 at its PBEsol-relaxed geometry. The functional is SCAN.

energy relative to the elements, uncorrected: -2.745 eV/atom

Unit cell a=11.4985 b=5.0725 c=6.5564 alpha=90.00 beta=106.62 gamma=90.00
Closest atoms and distances in Å follow each position.
Space group C2/m (No. 12)
Inequivalent atoms, fractional coordinates:
Sr 0.1713 0.0000 0.2168 (multiplicity 4)  8 O 2.46-2.73
Cu 0.0000 0.5000 0.5000 (multiplicity 2)  4 O 1.93
P 0.1427 0.0000 0.7093 (multiplicity 4)  4 O 1.52-1.57
O 0.0486 0.0000 0.8319 (multiplicity 4)  1 P 1.52
O 0.1308 0.2468 0.5600 (multiplicity 8)  1 P 1.57
O 0.2273 0.5000 0.1385 (multiplicity 4)  1 P 1.54

Number 1: electronic total energy -36.191 eV per atom. Number 2: electronic total energy -43.317 eV per atom. Number 3: electronic total energy -58.796 eV per atom. Number 4: electronic total energy -37.109 eV per atom. Number 5: electronic total energy -50.198 eV per atom. Number 6: electronic total energy -12.685 eV per atom. Number 7: electronic total energy -19.798 eV per atom. Number 8: electronic total energy -17.239 eV per atom. Number 9: electronic total energy -10.166 eV per atom. Number 10: electronic total energy -22.900 eV per atom. Number 11: electronic total energy -19.807 eV per atom. Number 12: electronic total energy -71.367 eV per atom. Number 13: electronic total energy -12.775 eV per atom.